(1)
Compound: TeOsPtN2
Source: Alexandria
Functional: PBEsol
Structure: optimized geometry

POSCAR file:
```
TeOsPtN2
1.0
-0.487 3.451 1.269
-3.574 -0.745 0.655
1.594 -2.097 6.314
Os N Te Pt
1 2 1 1
direct
0.500 0.500 0.500
0.500 0.000 0.000
0.000 0.500 0.000
0.000 0.000 0.500
0.000 0.000 0.000
```

Computed properties:
- Space-group type: P4/mmm (123)
- Crystal system: tetragonal

---

(2)
Compound: SnOsSN2
Source: Alexandria
Functional: PBEsol
Structure: optimized geometry

POSCAR file:
```
SnOsSN2
1.0
-2.251 -0.094 -3.205
-1.237 -3.587 0.974
-4.005 2.127 2.750
Os N S Sn
1 2 1 1
direct
0.500 0.500 0.500
0.500 0.000 0.000
0.000 0.500 0.000
0.000 0.000 0.500
0.000 0.000 0.000
```

Computed properties:
- Space-group type: P4/mmm (123)
- Crystal system: tetragonal

---

We obtain DFT total energy values of -6.2603 -5.5096 eV per atom for the records listed above, in that order.
We obtain formation energy (no corrections) values of 1.69 2.07 eV per atom for the records listed above, in that order.